[1]
Density functional theory data (PBE) for a relaxed GaPd5Pb crystal.

Geometry as POSCAR:
```
GaPd5Pb
1.0
-6.100 -1.110 1.839
-2.089 -5.410 -2.862
-3.493 -8.032 4.365
Pb Ga Pd
2 2 10
direct
0.247 0.753 0.750
0.753 0.247 0.250
0.000 0.000 0.500
0.000 0.000 0.000
0.259 0.380 0.344
0.741 0.620 0.656
0.767 0.460 0.431
0.233 0.540 0.569
0.620 0.741 0.156
0.540 0.233 0.069
0.380 0.259 0.844
0.119 0.881 0.250
0.460 0.767 0.931
0.881 0.119 0.750
```

Results
The formation energy is -0.152 eV per atom. The density of states at the Fermi level comes out at 0.572 states/eV per atom. Its total energy is -4.8237 eV per atom.


[2]
Density functional theory data (PBE) for a relaxed BaSiNi2 crystal.

Geometry as POSCAR:
```
BaSiNi2
1.0
-6.023 -3.572 -0.798
3.841 0.013 -2.781
0.600 -3.235 0.249
Si Ni Ba
1 2 1
direct
0.000 0.500 0.500
0.500 0.000 0.500
0.000 0.000 0.000
0.500 0.500 0.000
```

Results
The uncorrected formation energy is 0.486 eV/atom. The density of states at the Fermi level comes out at 0.597 states/eV per atom. Its total energy is -4.2409 eV per atom.


[3]
Density functional theory data (PBE) for a relaxed TlSbPF crystal.

Geometry as POSCAR:
```
TlSbPF
1.0
-2.644 0.348 -2.761
0.027 -3.110 2.250
-14.765 11.119 15.543
P Sb Tl F
3 3 3 3
direct
0.333 0.667 0.815
0.000 0.000 0.149
0.667 0.333 0.482
0.667 0.333 0.207
0.000 0.000 0.874
0.333 0.667 0.540
0.667 0.333 0.694
0.333 0.667 0.028
0.000 0.000 0.361
0.333 0.667 0.309
0.000 0.000 0.642
0.667 0.333 0.975
```

Results
The uncorrected formation energy is -0.760 eV/atom. The density of states at the Fermi level comes out at 0.005 states/eV per atom. Its total energy is -4.2026 eV per atom. The value obtained for the energy above the most stable polymorph in this dataset is 6 meV/atom.